(1)
# LiDy2Y3Te6

LiDy2Y3Te6 after structural relaxation (PBE-GGA, Alexandria).

Raw formation energy (kJ/mol of atoms): -127.3

Geometry as POSCAR:
```
LiDy2Y3Te6
1.0
4.340 0.000 0.000
0.000 8.682 0.306
-2.170 -2.507 9.138
Dy Te Li Y
2 6 1 3
direct
0.831 0.661 0.662
0.169 0.339 0.338
0.662 0.081 0.323
0.000 0.759 0.999
0.335 0.417 0.669
0.338 0.919 0.677
0.000 0.241 0.001
0.665 0.583 0.331
0.500 0.000 0.000
0.500 0.500 0.000
0.169 0.831 0.338
0.831 0.169 0.662
```


(2)
# LiDyYTe3

LiDyYTe3 after structural relaxation (PBE-GGA, Alexandria).

Raw formation energy (kJ/mol of atoms): -119.2

Geometry as POSCAR:
```
LiDyYTe3
1.0
4.213 0.000 0.000
0.000 8.893 0.040
0.000 -2.307 9.181
Te Dy Li Y
6 2 2 2
direct
0.750 0.911 0.123
0.250 0.089 0.877
0.750 0.422 0.174
0.250 0.578 0.826
0.250 0.765 0.504
0.750 0.235 0.496
0.750 0.334 0.837
0.250 0.666 0.163
0.750 0.915 0.415
0.250 0.085 0.585
0.750 0.814 0.769
0.250 0.186 0.231
```


(3)
# Li3Dy3ZrTe8

Li3Dy3ZrTe8 after structural relaxation (PBE-GGA, Alexandria).

Raw formation energy (kJ/mol of atoms): -115.1

Geometry as POSCAR:
```
Li3Dy3ZrTe8
1.0
-2.831 -4.966 -6.403
8.432 0.975 1.269
-4.687 -4.593 5.634
Te Dy Li Zr
8 3 3 1
direct
0.238 0.995 0.252
0.753 0.505 0.758
0.243 0.486 0.748
0.762 0.005 0.748
0.243 0.005 0.748
0.757 0.514 0.252
0.757 0.995 0.252
0.247 0.495 0.242
0.500 0.000 0.500
0.500 0.500 0.500
0.000 0.500 0.500
0.000 0.500 0.000
0.500 0.500 0.000
0.000 0.000 0.000
0.000 0.000 0.500
```


(4)
# LiDy2Th

LiDy2Th after structural relaxation (PBE-GGA, Alexandria).

Formation energy (meV/atom): 118

Geometry as POSCAR:
```
LiDy2Th
1.0
3.486 0.000 0.000
1.743 3.019 0.000
1.743 1.006 11.330
Th Dy Li
1 2 1
direct
0.500 0.500 0.499
0.253 0.253 0.242
0.081 0.081 0.758
0.666 0.666 0.001
```